1.
LaZnW2 after structural relaxation. Source: Alexandria, functional PBE.

Cell and atoms, written as CIF:
```
data_LaZnW2
_chemical_formula_sum 'La1 Zn1 W2'
_cell_length_a 10.528
_cell_length_b 10.528
_cell_length_c 10.528
_cell_angle_alpha 15.83
_cell_angle_beta 15.83
_cell_angle_gamma 15.83
_space_group_name_H-M_alt 'P 1'
_space_group_IT_number 1
loop_
_space_group_symop_operation_xyz
'x,y,z'
loop_
_atom_site_label
_atom_site_type_symbol
_atom_site_fract_x
_atom_site_fract_y
_atom_site_fract_z
La1 La 0.750 0.750 0.750
W1 W 0.989 0.989 0.989
W2 W 0.511 0.511 0.511
Zn1 Zn 0.250 0.250 0.250
```

Properties
Space group: R-3m
Formation energy from the elements (eV per atom): 0.8092
Crystal system: trigonal


2.
PmMgPb2 after structural relaxation. Source: Alexandria, functional PBE.

Cell and atoms, written as CIF:
```
data_PmMgPb2
_chemical_formula_sum 'Pm1 Mg1 Pb2'
_cell_length_a 4.582
_cell_length_b 4.902
_cell_length_c 4.902
_cell_angle_alpha 90.00
_cell_angle_beta 90.00
_cell_angle_gamma 90.00
_space_group_name_H-M_alt 'P 1'
_space_group_IT_number 1
loop_
_space_group_symop_operation_xyz
'x,y,z'
loop_
_atom_site_label
_atom_site_type_symbol
_atom_site_fract_x
_atom_site_fract_y
_atom_site_fract_z
Pb1 Pb 0.000 0.000 0.500
Pb2 Pb 0.000 0.500 0.000
Mg1 Mg 0.500 0.500 0.500
Pm1 Pm 0.500 0.000 0.000
```

Properties
Space group: P4/mmm
Formation energy from the elements (eV per atom): -0.3836
Crystal system: tetragonal


3.
YCuSiGe2 after structural relaxation. Source: Alexandria, functional PBE.

Cell and atoms, written as CIF:
```
data_YCuSiGe2
_chemical_formula_sum 'Y1 Cu1 Si1 Ge2'
_cell_length_a 4.824
_cell_length_b 4.824
_cell_length_c 4.451
_cell_angle_alpha 90.00
_cell_angle_beta 90.00
_cell_angle_gamma 90.00
_space_group_name_H-M_alt 'P 1'
_space_group_IT_number 1
loop_
_space_group_symop_operation_xyz
'x,y,z'
loop_
_atom_site_label
_atom_site_type_symbol
_atom_site_fract_x
_atom_site_fract_y
_atom_site_fract_z
Y1 Y 0.500 0.500 0.500
Ge1 Ge 0.000 0.500 0.000
Ge2 Ge 0.500 0.000 0.000
Si1 Si 0.000 0.000 0.500
Cu1 Cu 0.000 0.000 0.000
```

Properties
Space group: P4/mmm
Crystal system: tetragonal
Raw formation energy (eV per atom): 0.128


4.
Tb2LuMg after structural relaxation. Source: Alexandria, functional PBE.

Cell and atoms, written as CIF:
```
data_Tb2LuMg
_chemical_formula_sum 'Tb2 Lu1 Mg1'
_cell_length_a 3.568
_cell_length_b 3.568
_cell_length_c 9.199
_cell_angle_alpha 90.00
_cell_angle_beta 90.00
_cell_angle_gamma 90.00
_space_group_name_H-M_alt 'P 1'
_space_group_IT_number 1
loop_
_space_group_symop_operation_xyz
'x,y,z'
loop_
_atom_site_label
_atom_site_type_symbol
_atom_site_fract_x
_atom_site_fract_y
_atom_site_fract_z
Mg1 Mg 0.500 0.500 0.000
Lu1 Lu 0.500 0.500 0.500
Tb1 Tb 0.000 0.000 0.761
Tb2 Tb 0.000 0.000 0.239
```

Properties
Space group: P4/mmm
Formation energy from the elements (eV per atom): -0.0209
Polymorph energy (0 for the lowest one) (eV per atom): 0.000
Crystal system: tetragonal


5.
SiAsPd2 after structural relaxation. Source: Alexandria, functional PBE.

Cell and atoms, written as CIF:
```
data_SiAsPd2
_chemical_formula_sum 'Si2 As2 Pd4'
_cell_length_a 6.049
_cell_length_b 6.049
_cell_length_c 6.171
_cell_angle_alpha 60.65
_cell_angle_beta 60.65
_cell_angle_gamma 90.00
_space_group_name_H-M_alt 'P 1'
_space_group_IT_number 1
loop_
_space_group_symop_operation_xyz
'x,y,z'
loop_
_atom_site_label
_atom_site_type_symbol
_atom_site_fract_x
_atom_site_fract_y
_atom_site_fract_z
As1 As 0.000 0.000 0.000
As2 As 0.750 0.250 0.500
Si1 Si 0.500 0.500 0.000
Si2 Si 0.250 0.750 0.500
Pd1 Pd 0.611 0.125 0.250
Pd2 Pd 0.139 0.625 0.250
Pd3 Pd 0.375 0.389 0.750
Pd4 Pd 0.875 0.861 0.750
```

Properties
Space group: I-42d
Crystal system: tetragonal
Raw formation energy (eV per atom): -0.050


6.
SmInSe2O after structural relaxation. Source: Alexandria, functional PBE.

Cell and atoms, written as CIF:
```
data_SmInSe2O
_chemical_formula_sum 'Sm2 In2 Se4 O2'
_cell_length_a 4.062
_cell_length_b 4.062
_cell_length_c 13.608
_cell_angle_alpha 90.00
_cell_angle_beta 90.00
_cell_angle_gamma 90.00
_space_group_name_H-M_alt 'P 1'
_space_group_IT_number 1
loop_
_space_group_symop_operation_xyz
'x,y,z'
loop_
_atom_site_label
_atom_site_type_symbol
_atom_site_fract_x
_atom_site_fract_y
_atom_site_fract_z
Sm1 Sm 0.500 0.000 0.585
Sm2 Sm 0.000 0.500 0.415
In1 In 0.500 0.000 0.113
In2 In 0.000 0.500 0.887
Se1 Se 0.000 0.500 0.699
Se2 Se 0.000 0.500 0.086
Se3 Se 0.500 0.000 0.914
Se4 Se 0.500 0.000 0.301
O1 O 0.000 0.000 0.500
O2 O 0.500 0.500 0.500
```

Properties
Space group: P4/nmm
Crystal system: tetragonal
Raw formation energy (eV per atom): -1.746


It is found that the spin magnetization values, taken in the order of the records, are 0.0251, 0.0000, 0.0000, 0.0000, 0.0000, 0.0000 μB per atom.
It is found that the calculated density values, taken in the order of the records, are 12.5, 8.8, 5.2, 7.3, 6.4, 6.5 g/cm³.